The following is a DFT calculation (GGA-PBE) of crystalline LiNbO4 at its relaxed geometry.

It has space group Cm (No. 8), with a = 6.560 Å, b = 6.532 Å, c = 3.109 Å, α = 90.00°, β = 90.13° and γ = 90.00°. The distinct sites, in fractional coordinates, are Li at (0.000, 0.000, 0.000), Nb at (0.000, 0.500, 0.570), O at (0.000, 0.205, 0.487), O at (0.201, 0.500, 0.035) and O at (0.300, 0.000, 0.033).

Its crystal system is monoclinic. As for the magnetic moment: 2.00 μB/f.u. As for the energy above the most stable polymorph in this dataset: 236 meV per atom. The calculation puts the volume at 11.103 Å³/atom.



The following is a DFT calculation (GGA-PBE) of crystalline LiNbO4 at its relaxed geometry.

It has space group P-1 (No. 2), with a = 3.092 Å, b = 9.338 Å, c = 9.429 Å, α = 90.13°, β = 92.29° and γ = 94.73°. The distinct sites, in fractional coordinates, are Li at (0.002, 0.001, 0.250), Li at (0.003, 0.500, 0.250), Nb at (0.380, 0.762, 0.509), Nb at (0.385, 0.761, 0.010), O at (0.084, 0.166, 0.111), O at (0.085, 0.163, 0.610), O at (0.108, 0.358, 0.906), O at (0.109, 0.357, 0.405), O at (0.370, 0.389, 0.634), O at (0.387, 0.391, 0.136), O at (0.486, 0.903, 0.637) and O at (0.490, 0.904, 0.137).

Its crystal system is triclinic. As for the magnetic moment: 2.00 μB/f.u. As for the energy above the most stable polymorph in this dataset: 176 meV per atom. The calculation puts the volume at 11.297 Å³/atom.